# GGA-PBE Ac2Nd2Pt2Rh, relaxed
data_Ac2Nd2Pt2Rh
_chemical_formula_sum 'Ac2 Nd2 Pt2 Rh1'
_cell_length_a 4.112
_cell_length_b 8.145
_cell_length_c 7.502
_cell_angle_alpha 62.50
_cell_angle_beta 74.09
_cell_angle_gamma 75.38
_space_group_name_H-M_alt 'P 1'
_space_group_IT_number 1
loop_
_space_group_symop_operation_xyz
'x,y,z'
loop_
_atom_site_label
_atom_site_type_symbol
_atom_site_fract_x
_atom_site_fract_y
_atom_site_fract_z
_atom_site_occupancy
Ac1 Ac 0.540 0.230 0.690 1
Ac2 Ac 0.460 0.770 0.310 1
Nd1 Nd 0.212 0.710 0.865 1
Nd2 Nd 0.788 0.290 0.135 1
Pt1 Pt 0.121 0.448 0.310 1
Pt2 Pt 0.879 0.552 0.690 1
Rh1 Rh 0.000 0.000 0.000 1
# Energy of formation (eV per atom): -0.83
# V (Å³/cell): 212
# Size of the total moment (μB per formula unit): 0.0
# VASP energy (eV/atom): -6.144